Entry from Alexandria via LeMat-Bulk: RhSeBr at its PBEsol-relaxed geometry (meta-GGA SCAN).

Cell and atoms, written as POSCAR:
```
RhSeBr
1.0
-1.5457 1.5457 6.1743
1.5457 -1.5457 6.1743
1.5457 1.5457 -6.1743
Rh Se Br
1 1 1
Cartesian
0.0000 0.0000 0.0000 Rh
0.0000 0.0000 4.9011 Se
0.0000 0.0000 8.0905 Br
```

Calculated values
Its symmetry is I4mm. The calculation puts the total energy at -24.41 eV/atom.


Entry from Alexandria via LeMat-Bulk: RhSeBr at its PBEsol-relaxed geometry (meta-GGA SCAN).

Cell and atoms, written as POSCAR:
```
RhSeBr
1.0
0.0000 3.0870 3.0870
3.0870 0.0000 3.0870
3.0870 3.0870 0.0000
Rh Se Br
1 1 1
Cartesian
0.0000 0.0000 0.0000 Rh
4.6306 4.6306 4.6306 Se
1.5435 1.5435 1.5435 Br
```

Calculated values
Its symmetry is F-43m. The calculation puts the total energy at -24.25 eV/atom.


Entry from Alexandria via LeMat-Bulk: Rh2SeBr at its PBEsol-relaxed geometry (meta-GGA SCAN).

Cell and atoms, written as POSCAR:
```
Rh2SeBr
1.0
-1.5288 2.0015 5.4871
1.5288 -2.0015 5.4871
1.5288 2.0015 -5.4871
Rh Se Br
2 1 1
Cartesian
0.0000 0.0000 0.0000 Rh
0.0000 2.0015 3.0141 Rh
1.5288 0.0000 2.0440 Se
0.0000 0.0000 4.9181 Br
```

Calculated values
As for the polymorph energy (0 for the lowest one): 0.3442 eV/atom. Its symmetry is Imm2. The calculation puts the total energy at -26.42 eV/atom.


Entry from Alexandria via LeMat-Bulk: Rh2Se9Br6 at its PBEsol-relaxed geometry (meta-GGA SCAN).

Cell and atoms, written as POSCAR:
```
Rh2Se9Br6
1.0
-6.1735 6.1735 12.2903
6.1735 -6.1735 12.2903
6.1735 6.1735 -12.2903
Rh Se Br
8 36 24
Cartesian
4.4278 -4.4162 9.6737 Rh
1.7457 4.4162 -2.6166 Rh
7.5029 1.3411 3.5285 Rh
1.3294 1.3411 8.7618 Rh
4.8441 4.8325 3.5285 Rh
-1.3294 4.8325 8.7618 Rh
4.4278 1.7574 14.9070 Rh
1.7457 10.5897 2.6166 Rh
6.1735 -3.0868 6.5151 Se
1.7895 1.0043 -0.9881 Se
2.0956 2.1070 -3.0796 Se
6.1819 4.8591 -8.1144 Se
5.7516 -4.2422 11.6563 Se
4.0780 -2.1070 9.2108 Se
5.1938 0.9912 3.0656 Se
6.1819 -1.3144 8.1144 Se
6.1735 3.0868 0.3700 Se
4.0911 1.2973 5.1571 Se
0.4219 4.2422 -0.6340 Se
7.9459 3.0784 1.9692 Se
4.4012 3.0951 1.9692 Se
4.3840 -1.0043 11.3022 Se
4.0911 7.4708 -5.1571 Se
7.3290 2.6648 5.5112 Se
-0.9797 0.9912 9.2247 Se
1.1555 2.6648 6.7792 Se
5.0181 3.5087 5.5112 Se
7.1533 5.1823 3.0656 Se
-1.1555 3.5087 6.7792 Se
2.0824 -1.2973 17.4474 Se
1.7895 7.1779 0.9881 Se
1.7723 3.0784 10.3211 Se
-1.7723 3.0951 10.3211 Se
5.7516 1.9313 12.9243 Se
2.0824 4.8763 7.1333 Se
0.0000 3.0868 11.9204 Se
-0.0084 7.4879 4.1760 Se
0.9797 5.1823 9.2247 Se
2.0956 8.2806 3.0796 Se
0.4219 10.4158 0.6340 Se
-0.0084 1.3144 20.4047 Se
4.0780 4.0665 15.3699 Se
4.3840 5.1692 13.2784 Se
0.0000 9.2603 5.7752 Se
7.7534 -0.3382 1.6733 Br
3.4249 -1.5069 4.4719 Br
8.6962 1.8535 -0.9899 Br
1.5895 0.7215 2.1874 Br
7.4068 -0.5641 5.1553 Br
3.4249 4.6667 -4.4719 Br
1.2333 -0.5641 7.1351 Br
9.9818 1.4973 3.9578 Br
3.6509 4.3200 -0.9899 Br
1.5799 -0.3382 10.6171 Br
3.8083 1.4973 8.3326 Br
1.5895 6.8951 -2.1874 Br
4.5841 -0.7215 14.4777 Br
2.3652 4.6762 3.9578 Br
4.5936 6.5117 1.6733 Br
2.5227 1.8535 13.2802 Br
-3.8083 4.6762 8.3326 Br
4.9402 6.7376 5.1553 Br
2.7486 1.5069 16.7622 Br
-1.2333 6.7376 7.1351 Br
4.5841 5.4520 10.1029 Br
-2.5227 4.3200 13.2802 Br
2.7486 7.6804 7.8184 Br
-1.5799 6.5117 10.6171 Br
```

Calculated values
Its symmetry is I4_1/a. The calculation puts the total energy at -21.78 eV/atom.


Entry from Alexandria via LeMat-Bulk: TaRhSeBr2 at its PBEsol-relaxed geometry (meta-GGA SCAN).

Cell and atoms, written as POSCAR:
```
TaRhSeBr2
1.0
4.9993 0.0000 0.0000
0.0000 4.9993 0.0000
0.0000 0.0000 4.9511
Ta Rh Se Br
1 1 1 2
Cartesian
0.0000 0.0000 0.0000 Ta
2.4996 2.4996 2.4755 Rh
0.0000 0.0000 2.4755 Se
0.0000 2.4996 0.0000 Br
2.4996 0.0000 0.0000 Br
```

Calculated values
Its symmetry is P4/mmm. The calculation puts the total energy at -31.38 eV/atom.


Entry from Alexandria via LeMat-Bulk: TcRhSe2Br at its PBEsol-relaxed geometry (meta-GGA SCAN).

Cell and atoms, written as POSCAR:
```
TcRhSe2Br
1.0
4.8057 0.0000 0.0000
0.0000 4.8057 0.0000
0.0000 0.0000 4.8824
Tc Rh Se Br
1 1 2 1
Cartesian
0.0000 0.0000 0.0000 Tc
2.4029 2.4029 2.4412 Rh
0.0000 2.4029 2.4412 Se
2.4029 0.0000 2.4412 Se
2.4029 2.4029 0.0000 Br
```

Calculated values
Its symmetry is P4/mmm. The calculation puts the total energy at -24.99 eV/atom.


Number 1: formation energy without anion corrections 0.027 eV/atom. Number 2: formation energy without anion corrections 0.183 eV/atom. Number 3: formation energy without anion corrections 0.352 eV/atom. Number 4: formation energy without anion corrections -0.310 eV/atom. Number 5: formation energy without anion corrections 0.488 eV/atom. Number 6: formation energy without anion corrections 0.702 eV/atom.